A plane-wave DFT calculation with PBE was carried out for a relaxed NdThCu4 crystal.

a = 3.9340 Å, b = 3.9340 Å, c = 15.6115 Å
α = 90.00°, β = 90.00°, γ = 90.00°
Space group I-4m2 (No. 119)
Asymmetric unit:
Nd (0.0000, 0.0000, 0.0000) [2 per cell]
Th (0.0000, 0.5000, 0.2500) [2 per cell]
Cu (0.0000, 0.0000, 0.4198) [4 per cell]
Cu (0.0000, 0.5000, 0.6705) [4 per cell]

Summary:
**Calculated volume**: 20.1 A^3/atom
**DFT formation energy**: -0.985 eV per formula unit



A plane-wave DFT calculation with PBE was carried out for a relaxed NdThCu4 crystal.

a = 7.5811 Å, b = 7.5811 Å, c = 7.5811 Å
α = 90.00°, β = 90.00°, γ = 90.00°
Space group F-43m (No. 216)
Asymmetric unit:
Nd (0.0000, 0.0000, 0.0000) [4 per cell]
Th (0.2500, 0.2500, 0.2500) [4 per cell]
Cu (0.1250, 0.1250, 0.6250) [16 per cell]

Summary:
**Calculated volume**: 18.2 A^3/atom
**DFT formation energy**: -0.249 eV per formula unit



A plane-wave DFT calculation with PBE was carried out for a relaxed Nd2ThCu6 crystal.

a = 7.4598 Å, b = 7.4598 Å, c = 3.7027 Å
α = 90.00°, β = 90.00°, γ = 120.00°
Space group P6/mmm (No. 191)
Asymmetric unit:
Nd (0.3333, 0.6667, 0.0000) [2 per cell]
Th (0.0000, 0.0000, 0.0000) [1 per cell]
Cu (0.0000, 0.3326, 0.5000) [6 per cell]

Summary:
**Calculated volume**: 19.8 A^3/atom
**DFT formation energy**: -1.828 eV per formula unit



A plane-wave DFT calculation with PBE was carried out for a relaxed NdThTlCu crystal.

a = 7.5446 Å, b = 7.5446 Å, c = 7.5446 Å
α = 90.00°, β = 90.00°, γ = 90.00°
Space group F-43m (No. 216)
Asymmetric unit:
Nd (0.0000, 0.0000, 0.0000) [4 per cell]
Th (0.0000, 0.0000, 0.5000) [4 per cell]
Tl (0.2500, 0.2500, 0.7500) [4 per cell]
Cu (0.2500, 0.2500, 0.2500) [4 per cell]

Summary:
**Calculated volume**: 26.8 A^3/atom
**DFT formation energy**: -0.321 eV per formula unit